DFT (GGA+U) results for a relaxed structure of ZnCoO2.

The structure in extended XYZ format:
```
4
Lattice="-0.335 2.571 1.728 -0.741 -0.153 3.023 5.919 -0.982 -0.212" Properties=species:S:1:pos:R:3 pbc="T T T"
Zn 2.421 0.718 2.270
O 4.155 0.648 2.665
Co 0.000 0.000 0.000
O 0.688 0.789 1.875
```

Properties
SG: No. 12
Calculated total energy (eV per atom): -5.03
Total moment (μB per cell): 3.00
Density (Mg/m³): 5.5